The following is a PBE-GGA calculation of an optimized crystal structure of Al2BiPbW, from the Alexandria database.

Values from the calculation:
Energy above the lowest structure with this stoichiometry   0.000 eV/atom

a b c (Å): 5.4193 5.4193 5.3313
angles (deg): 90.00 90.00 90.00
Fractional positions:
Al (0.0000, 0.5000, 0.0000)
Al (0.5000, 0.0000, 0.0000)
Bi (0.0000, 0.0000, 0.0000)
Pb (0.5000, 0.5000, 0.5000)
W (0.0000, 0.0000, 0.5000)